The following is a DFT calculation (PBE-GGA) of an optimized crystal structure of NiPd6Pt.

Structure (CIF):
```
data_NiPd6Pt
_cell_length_a 5.561
_cell_length_b 5.561
_cell_length_c 3.893
_cell_angle_alpha 90.00
_cell_angle_beta 90.00
_cell_angle_gamma 90.00
_symmetry_space_group_name_H-M 'P 4/m m m'
_symmetry_Int_Tables_number 123
_symmetry_space_group_name_Hall '-P 4 2'
loop_
_atom_site_label
_atom_site_type_symbol
_atom_site_fract_x
_atom_site_fract_y
_atom_site_fract_z
Ni1 Ni 0.000 0.000 0.000
Pd1 Pd 0.000 0.500 0.000
Pd2 Pd 0.246 0.246 0.500
Pt1 Pt 0.500 0.500 0.000
```

## Properties
Electronic total energy: -42.798 eV/f.u.
Density: 12.31 g/cm³
Calculated formation energy: 0.023 eV/atom
V: 120.4 Å³ per cell